1.
The following is a GGA-PBE calculation of a geometry-optimized K2TlIF4 structure, from the Alexandria database.

POSCAR file:
```
K2TlIF4
1.0
8.096 -1.104 0.021
-1.110 8.095 0.021
-3.419 -3.422 6.044
K F Tl I
4 8 2 2
Cartesian
4.048 -0.552 0.011
3.493 3.496 0.021
-1.710 -1.711 3.022
2.338 -2.263 3.032
4.538 -1.038 3.262
5.272 1.648 0.240
-0.971 4.608 2.824
2.850 3.584 2.601
0.718 -0.014 3.485
-1.704 1.921 5.846
-1.621 -2.354 5.602
5.188 5.924 0.484
5.832 1.233 3.054
-0.555 4.048 0.011
4.677 -4.526 6.065
1.784 1.785 3.043
```

Computed properties:
As for the space group: C2/c. The value obtained for the formation energy from raw total energies is -2.0064 eV per atom. The calculation puts the size of the total moment at 0.000 μB/atom.

2.
The following is a GGA-PBE calculation of a geometry-optimized KUI2F6 structure, from the Alexandria database.

POSCAR file:
```
KUI2F6
1.0
7.120 0.001 0.003
0.002 7.108 0.003
3.563 3.556 5.033
U F I K
1 6 2 1
Cartesian
3.561 3.555 0.003
2.100 2.094 0.003
8.584 8.572 5.036
3.561 3.555 2.068
8.584 5.650 5.036
2.101 5.016 0.003
7.124 7.111 2.970
7.119 3.558 2.514
3.565 7.107 2.525
0.000 0.000 0.000
```

Computed properties:
As for the space group: R-3m. The value obtained for the formation energy from raw total energies is -2.5229 eV per atom. The calculation puts the size of the total moment at 0.201 μB/atom.

- What is the formula in the first record?
  K2TlIF4

- Which of these has the highest formation energy from raw total energies?
  K2TlIF4

- Which value of formation energy from raw total energies does entry 2 give?
  -2.5229 eV per atom